1.
RbAs PBE optimized geometry; electronic total energy = -2.251 eV per atom; polymorph energy (0 for the lowest one) = 990 meV per atom; density of states at the Fermi level = 6.27 states/eV/cell; energy of formation from the pure elements = 0.557 eV/atom
1.0
8.001 0.000 0.000
0.000 8.001 0.000
0.000 0.000 8.001
Rb As
4 4
direct
0.500 0.000 0.500 Rb
0.000 0.500 0.500 Rb
0.000 0.000 0.000 Rb
0.500 0.500 0.000 Rb
0.250 0.250 0.250 As
0.750 0.250 0.750 As
0.250 0.750 0.750 As
0.750 0.750 0.250 As

2.
CrTe3 PBE optimized geometry; electronic total energy = -4.687 eV per atom; density of states at the Fermi level = 4.57 states/eV/cell; formation energy (no corrections) = 0.075 eV/atom
1.0
-0.601 -2.904 -1.617
1.812 2.425 -1.500
9.513 -4.405 4.373
Te Cr
3 1
direct
0.667 0.333 0.845 Te
0.000 0.000 0.500 Te
0.667 0.333 0.155 Te
0.000 0.000 0.000 Cr

3.
BaPPt4 PBE optimized geometry; electronic total energy = -5.319 eV per atom; polymorph energy (0 for the lowest one) = 513 meV per atom; density of states at the Fermi level = 6.44 states/eV/cell; energy of formation from the pure elements = -0.070 eV/atom
1.0
0.000 3.890 3.890
3.890 0.000 3.890
3.890 3.890 0.000
Pt Ba P
4 1 1
direct
0.626 0.626 0.626 Pt
0.626 0.626 0.122 Pt
0.626 0.122 0.626 Pt
0.122 0.626 0.626 Pt
0.250 0.250 0.250 Ba
0.000 0.000 0.000 P

4.
Tb8Tl3In4 PBE optimized geometry; electronic total energy = -3.838 eV per atom; density of states at the Fermi level = 14.37 states/eV/cell; energy of formation from the pure elements = -0.165 eV/atom
1.0
10.627 -0.145 -0.208
-5.226 7.187 -0.662
-5.226 -3.116 6.511
Tb In Tl
8 4 3
direct
0.000 0.348 0.652 Tb
0.995 0.252 0.252 Tb
0.492 0.749 0.749 Tb
0.005 0.748 0.748 Tb
0.500 0.750 0.250 Tb
0.500 0.250 0.750 Tb
0.000 0.652 0.348 Tb
0.508 0.251 0.251 Tb
0.500 0.000 0.000 In
0.000 0.500 0.000 In
0.000 0.000 0.500 In
0.000 0.000 0.000 In
0.500 0.500 0.500 Tl
0.500 0.000 0.500 Tl
0.500 0.500 0.000 Tl

5.
ZnCuTe2 PBE optimized geometry; electronic total energy = -2.752 eV per atom; polymorph energy (0 for the lowest one) = 386 meV per atom; density of states at the Fermi level = 1.86 states/eV/cell; formation energy (no corrections) = 0.162 eV/atom
1.0
-4.016 -1.283 -0.172
3.326 -2.450 0.861
-0.792 1.499 7.324
Zn Cu Te
1 1 2
direct
0.500 0.500 0.250 Zn
0.500 0.500 0.750 Cu
0.000 0.000 0.981 Te
0.000 0.000 0.519 Te

6.
AlSb2TeAu PBE optimized geometry; electronic total energy = -3.050 eV per atom; polymorph energy (0 for the lowest one) = 0 meV per atom; density of states at the Fermi level = 3.78 states/eV/cell; formation energy (no corrections) = 0.631 eV/atom
1.0
5.256 0.000 0.000
0.000 5.256 0.000
0.000 0.000 5.228
Au Sb Te Al
1 2 1 1
direct
0.500 0.500 0.500 Au
0.500 0.000 0.000 Sb
0.000 0.500 0.000 Sb
0.000 0.000 0.500 Te
0.000 0.000 0.000 Al

7.
ReSiPb PBE optimized geometry; electronic total energy = -6.578 eV per atom; polymorph energy (0 for the lowest one) = 184 meV per atom; density of states at the Fermi level = 2.26 states/eV/cell; formation energy (no corrections) = 0.615 eV/atom
1.0
4.176 0.000 0.000
-2.088 3.616 0.000
0.000 0.000 3.968
Re Si Pb
1 1 1
direct
0.333 0.667 0.500 Re
0.667 0.333 0.500 Si
0.000 0.000 0.000 Pb

8.
TaRu PBE optimized geometry; electronic total energy = -10.472 eV per atom; density of states at the Fermi level = 2.32 states/eV/cell; energy of formation from the pure elements = 0.093 eV/atom
1.0
-1.486 3.577 -0.325
-1.825 -3.018 -1.634
-2.868 -0.771 4.628
Ta Ru
2 2
direct
0.333 0.667 0.250 Ta
0.667 0.333 0.750 Ta
0.000 0.000 0.500 Ru
0.000 0.000 0.000 Ru